An optimized crystal structure of CeNi6As4. Source: Alexandria, functional GGA-PBE.

```
CeNi6As4
1.0
6.871 0.000 0.000
-3.436 5.951 0.000
0.000 0.000 3.830
Ce Ni As
1 6 4
direct
0.000 0.000 0.000
0.206 0.412 0.500
0.206 0.794 0.500
0.539 0.077 0.000
0.539 0.461 0.000
0.588 0.794 0.500
0.923 0.461 0.000
0.333 0.667 0.000
0.379 0.189 0.500
0.811 0.189 0.500
0.811 0.621 0.500
```

Calculated values
* DFT formation energy: -0.467 eV per atom
* total magnetization: 0.6 Bohr magnetons per cell
* volume: 156.61 Å³/f.u.
* SG: No. 187